# 1
4
Lattice="4.7020 0.0000 0.0000 2.3510 4.0721 0.0000 2.3510 1.3574 3.8392" Properties=species:S:1:pos:R:3 comment="Er2IrRu (PBEsol, relaxed)" energy_ha_per_atom=-0.298 spacegroup=Fm-3m magmom_total_mub_per_cell=0.00 pbc="T T T"
Er 7.0530 4.0721 2.8794
Er 2.3510 1.3574 0.9598
Ir 4.7020 2.7147 1.9196
Ru 0.0000 0.0000 0.0000

---

# 2
12
Lattice="-1.3838 0.0995 -4.2397 -3.6670 -5.8888 1.0586 -6.1921 4.2371 2.1205" Properties=species:S:1:pos:R:3 comment="ErSbIr (PBEsol, relaxed)" e_form_raw_ev_per_fu=-2.7 spacegroup=Pnma magmom_total_mub_per_cell=0.00 pbc="T T T"
Ir -8.8891 -0.7530 1.7101
Ir -5.0419 0.8135 0.4912
Ir -6.2010 -2.3658 -1.5519
Ir -2.3538 -0.7993 -2.7708
Er -8.9542 -2.8211 -0.6640
Er -2.2886 1.2689 -0.3967
Er -3.4073 -2.1647 -0.1122
Er -7.8356 0.6124 -0.9485
Sb -4.6002 -4.3915 -2.1219
Sb -6.4758 -1.4739 0.9055
Sb -6.6427 2.8393 1.0613
Sb -4.7671 -0.0784 -1.9662

---

# 3
38
Lattice="-3.2405 2.3285 1.2953 -4.4656 0.2634 -11.6448 -6.5446 -10.3732 2.2751" Properties=species:S:1:pos:R:3 comment="Er5Si10Ir4 (PBEsol, relaxed)" e_form_raw_ev_per_fu=-18.2 spacegroup=P4/mbm magmom_total_mub_per_cell=0.00 pbc="T T T"
Si -7.8318 -3.8592 -5.8610
Si -5.3918 1.3765 -9.1690
Si -11.5999 -7.3192 -9.0677
Si -8.1473 -5.5175 -3.6693
Si -3.4614 -3.0222 -3.2264
Si -5.6870 -6.8125 -1.9805
Si -7.5488 -7.0876 -6.1434
Si -2.9623 -0.5381 -6.4432
Si -5.0414 -1.8559 -9.2757
Si -8.0479 -9.5717 -2.9265
Si -5.3232 -3.2974 -7.3892
Si -8.8588 -9.1578 1.0946
Si -2.6508 -0.4621 0.9933
Si -6.4188 -3.9221 -2.2133
Si -7.8756 -5.6280 -9.5850
Si -6.1033 -2.2638 -4.4051
Si -3.1346 -4.4819 0.2153
Si -1.9693 -1.6521 -1.9565
Si -5.9688 -8.2540 -0.0940
Si -9.0409 -8.4577 -7.4132
Ir -7.5133 -10.1048 -0.6307
Ir -6.7308 -5.1939 -7.5013
Ir -9.3145 -7.5664 -9.7000
Ir -4.2794 -4.9159 -1.8684
Ir -1.6957 -2.5435 0.3303
Ir -7.0254 -7.6088 -3.8972
Ir -3.4969 -0.0050 -8.7390
Ir -3.9848 -2.5011 -5.4725
Er -9.7218 -5.6197 -7.4245
Er 0.0000 0.0000 0.0000
Er -4.0926 0.0704 -3.5708
Er -5.7791 -0.4726 -6.8138
Er -5.5051 -5.0549 -4.6849
Er -8.4716 -7.3087 -1.2606
Er -8.0895 -2.5941 -8.7800
Er -10.1581 -7.8517 -4.5035
Er -4.5288 -2.1616 -0.6498
Er -6.1612 -5.1872 0.7056

---

# 4
5
Lattice="4.0325 0.0000 0.0000 0.0000 4.0325 0.0000 -2.0163 -2.0163 4.9184" Properties=species:S:1:pos:R:3 comment="ErSi2Ir2 (PBEsol, relaxed)" e_form_raw_ev_per_fu=-5.6 spacegroup=I4/mmm magmom_total_mub_per_cell=0.00 pbc="T T T"
Si 0.0000 0.0000 3.7342
Si 2.0163 2.0163 1.1842
Er 0.0000 0.0000 0.0000
Ir 2.0163 0.0000 2.4592
Ir 0.0000 2.0163 2.4592

---

# 5
12
Lattice="4.1685 0.0000 0.0000 0.0000 6.7231 0.0000 0.0000 0.0000 7.3304" Properties=species:S:1:pos:R:3 comment="ErSiIr (PBEsol, relaxed)" e_form_raw_ev_per_fu=-3.4 spacegroup=Pnma magmom_total_mub_per_cell=0.00 pbc="T T T"
Er 3.1264 3.3764 1.3699
Er 1.0421 3.3467 5.9605
Er 1.0421 6.7082 5.0351
Er 3.1264 0.0149 2.2953
Si 1.0421 1.3704 0.8190
Si 3.1264 5.3527 6.5114
Si 1.0421 4.7319 2.8462
Si 3.1264 1.9912 4.4842
Ir 3.1264 4.4213 4.1540
Ir 3.1264 1.0598 6.8416
Ir 1.0421 5.6633 0.4888
Ir 1.0421 2.3018 3.1764

---

# 6
9
Lattice="3.7593 0.0000 0.0000 0.0000 7.4491 0.0000 0.0000 -3.7246 6.4511" Properties=species:S:1:pos:R:3 comment="ErSnIr (PBEsol, relaxed)" energy_ha_per_atom=-0.265 spacegroup=P-62m magmom_total_mub_per_cell=0.00 pbc="T T T"
Sn 0.0000 -0.9838 1.7040
Sn 0.0000 2.7408 4.7472
Sn 0.0000 1.9676 0.0000
Ir 1.8796 0.0000 0.0000
Ir 0.0000 3.7246 2.1504
Ir 0.0000 0.0000 4.3008
Er 1.8796 -2.2194 3.8441
Er 1.8796 1.5052 2.6070
Er 1.8796 4.4388 0.0000

---

# 7
4
Lattice="4.7643 0.0000 0.0000 2.3822 4.1260 0.0000 2.3822 1.3753 3.8900" Properties=species:S:1:pos:R:3 comment="TbErIr2 (PBEsol, relaxed)" energy_ha_per_atom=-0.301 spacegroup=Fm-3m magmom_total_mub_per_cell=0.00 pbc="T T T"
Tb 0.0000 0.0000 0.0000
Ir 2.3822 1.3753 0.9725
Ir 7.1465 4.1260 2.9175
Er 4.7643 2.7507 1.9450

---

# 8
11
Lattice="-2.2964 1.2797 2.8318 4.0490 -3.4576 7.4820 5.7239 5.2406 4.9095" Properties=species:S:1:pos:R:3 comment="Er7Te2Ir2 (PBEsol, relaxed)" e_form_raw_ev_per_fu=-10.2 spacegroup=Imm2 magmom_total_mub_per_cell=0.00 pbc="T T T"
Er 6.1924 1.2301 12.3740
Er 1.5166 -0.8422 6.8827
Er 3.4428 1.5597 4.7232
Er 5.0744 -0.6938 9.7007
Er 4.3164 2.9715 10.0658
Er 4.0532 -3.4359 7.4756
Er 0.8604 -0.3676 3.5000
Ir 0.6983 2.0246 4.9236
Ir 7.0189 2.2881 9.9300
Te 4.6154 -0.5161 6.6120
Te 4.1361 3.5974 7.0006